(1)
Compound: Pr12Y5Er
Source: Alexandria via LeMat-Bulk
Functional: PBE-GGA
Structure: optimized geometry

a b c (Å): 10.9827 5.1974 10.9984
angles (deg): 90.00 90.36 90.00
With the nearest neighbours (Å) after each atom.
Space group P2/m (No. 10)
Symmetry-distinct sites (fractional):
Pr 0.0010 0.0000 0.1675 (multiplicity 2)  4 Y 3.65-3.66, 8 Pr 3.68-3.69
Pr 0.1656 0.5000 0.6658 (multiplicity 2)  4 Y 3.65-3.66, 8 Pr 3.68-3.70
Pr 0.1687 0.5000 0.0010 (multiplicity 2)  1 Er 3.64, 3 Y 3.65-3.66, 8 Pr 3.67-3.71
Pr 0.3324 0.0000 0.4992 (multiplicity 2)  4 Y 3.65-3.66, 8 Pr 3.68-3.70
Pr 0.3354 0.0000 0.8353 (multiplicity 2)  2 Y 3.63-3.64, 2 Er 3.64, 8 Pr 3.67-3.70
Pr 0.4988 0.5000 0.3314 (multiplicity 2)  1 Er 3.65, 3 Y 3.65, 8 Pr 3.67-3.71
Y 0.0000 0.0000 0.5000 (multiplicity 1)  8 Pr 3.65-3.66, 4 Y 3.67
Y 0.1665 0.5000 0.3335 (multiplicity 2)  8 Pr 3.65-3.66, 4 Y 3.67-3.68
Y 0.3337 0.0000 0.1663 (multiplicity 2)  8 Pr 3.63-3.66, 2 Er 3.67, 2 Y 3.68
Er 0.5000 0.5000 0.0000 (multiplicity 1)  8 Pr 3.64-3.65, 4 Y 3.67

Summary:
- calculated formation energy (meV per atom) = 19.8
- theoretical density (Mg/m³) = 6.091

=====

(2)
Compound: Pr4Y2Er5
Source: Alexandria via LeMat-Bulk
Functional: PBE-GGA
Structure: optimized geometry

a b c (Å): 24.0182 3.5560 8.7287
angles (deg): 90.00 94.86 90.00
With the nearest neighbours (Å) after each atom.
Space group C2/m (No. 12)
Symmetry-distinct sites (fractional):
Pr 0.0416 0.0000 0.3473 (multiplicity 4)  5 Pr 3.46-3.66, 7 Er 3.56-3.63
Pr 0.1411 0.5000 0.1256 (multiplicity 4)  4 Er 3.47-3.84, 3 Y 3.53-3.56, 4 Pr 3.56-3.66
Y 0.2304 0.5000 0.8245 (multiplicity 4)  4 Er 3.46-3.58, 3 Pr 3.53-3.56, 4 Y 3.56-3.60
Er 0.0000 0.5000 0.0000 (multiplicity 2)  6 Pr 3.47-3.58, 4 Er 3.56
Er 0.0898 0.5000 0.6964 (multiplicity 4)  1 Y 3.46, 5 Er 3.56-3.57, 5 Pr 3.61-3.84
Er 0.1857 0.0000 0.4805 (multiplicity 4)  3 Y 3.47-3.58, 6 Er 3.56-3.57, 3 Pr 3.56-3.65

Summary:
- calculated formation energy (meV per atom) = 112.0
- ΔE to the lowest computed polymorph (meV per atom) = 13
- theoretical density (Mg/m³) = 7.054

=====

(3)
Compound: Pr2Y12Er
Source: Alexandria via LeMat-Bulk
Functional: PBE-GGA
Structure: optimized geometry

a b c (Å): 6.5102 6.5102 24.8944
angles (deg): 90.00 90.00 90.00
With the nearest neighbours (Å) after each atom.
Space group P4/nbm (No. 125, origin choice 2)
Symmetry-distinct sites (fractional):
Pr 0.2500 0.7500 0.2389 (multiplicity 4)  8 Y 3.48-3.77
Y 0.0005 0.5005 0.3899 (multiplicity 8)  6 Y 3.26-3.42, 2 Er 3.58
Y 0.0813 0.5813 0.9386 (multiplicity 8)  6 Y 3.11-3.42
Y 0.2500 0.2500 0.1628 (multiplicity 4)  5 Y 3.13-3.50
Y 0.2500 0.2500 0.2884 (multiplicity 4)  5 Y 3.13-3.42, 4 Pr 3.48
Er 0.2500 0.7500 0.5000 (multiplicity 2)  8 Y 3.58

Summary:
- calculated formation energy (meV per atom) = 380.3
- theoretical density (Mg/m³) = 4.772

=====

(4)
Compound: Pr6YEr5
Source: Alexandria via LeMat-Bulk
Functional: PBE-GGA
Structure: optimized geometry

a b c (Å): 6.2895 10.8918 11.8320
angles (deg): 90.00 100.19 90.00
With the nearest neighbours (Å) after each atom.
Space group C2/m (No. 12)
Symmetry-distinct sites (fractional):
Pr 0.2486 0.0000 0.2507 (multiplicity 4)  5 Er 3.58-3.59, 1 Y 3.60, 6 Pr 3.62-3.64
Pr 0.2499 0.1672 0.7494 (multiplicity 8)  5 Er 3.58-3.59, 1 Y 3.60, 6 Pr 3.62-3.64
Y 0.0000 0.5000 0.0000 (multiplicity 2)  6 Pr 3.60, 6 Er 3.63
Er 0.0000 0.0000 0.5000 (multiplicity 2)  6 Pr 3.58-3.59, 6 Er 3.63
Er 0.0000 0.1666 0.0000 (multiplicity 4)  6 Pr 3.59, 3 Er 3.63, 3 Y 3.63
Er 0.0000 0.3333 0.5000 (multiplicity 4)  6 Pr 3.58, 6 Er 3.63

Summary:
- calculated formation energy (meV per atom) = 12.8
- ΔE to the lowest computed polymorph (meV per atom) = 0
- theoretical density (Mg/m³) = 7.371

=====

(5)
Compound: Pr6Y2Er
Source: Alexandria via LeMat-Bulk
Functional: PBE-GGA
Structure: optimized geometry

a b c (Å): 8.3647 8.3647 10.5569
angles (deg): 90.00 90.00 90.00
With the nearest neighbours (Å) after each atom.
Space group P4_2/mnm (No. 136)
Symmetry-distinct sites (fractional):
Pr 0.2391 0.2391 0.1661 (multiplicity 8)  2 Y 3.09-3.33, 1 Er 3.33
Pr 0.2413 0.2413 0.5000 (multiplicity 4)  1 Er 3.06, 2 Y 3.36
Y 0.0000 0.0000 0.3329 (multiplicity 4)  6 Pr 3.09-3.36
Er 0.0000 0.0000 0.0000 (multiplicity 2)  6 Pr 3.06-3.33

Summary:
- calculated formation energy (meV per atom) = 603.7
- ΔE to the lowest computed polymorph (meV per atom) = 482
- theoretical density (Mg/m³) = 5.353

=====

(6)
Compound: PrY3Er
Source: Alexandria via LeMat-Bulk
Functional: PBE-GGA
Structure: optimized geometry

a b c (Å): 9.0822 15.0468 9.8114
angles (deg): 90.00 100.00 90.00
With the nearest neighbours (Å) after each atom.
Space group C2/c (No. 15)
Symmetry-distinct sites (fractional):
Pr 0.2431 0.0502 0.0444 (multiplicity 8)  5 Y 3.27-3.52, 3 Er 3.35-3.55
Y 0.0654 0.1892 0.4428 (multiplicity 8)  8 Y 3.43-3.81, 1 Pr 3.52, 2 Er 3.63-3.76
Y 0.1017 0.3961 0.6176 (multiplicity 8)  3 Pr 3.27-3.47, 4 Y 3.29-3.54, 2 Er 3.44-3.57
Y 0.2015 0.2211 0.8126 (multiplicity 8)  4 Y 3.29-3.66, 1 Pr 3.41, 2 Er 3.46-3.57
Er 0.0000 0.0174 0.7500 (multiplicity 4)  4 Pr 3.35-3.39, 4 Y 3.57-3.63
Er 0.0000 0.4057 0.2500 (multiplicity 4)  8 Y 3.44-3.76, 2 Pr 3.55

Summary:
- calculated formation energy (meV per atom) = 112.3
- ΔE to the lowest computed polymorph (meV per atom) = 101
- theoretical density (Mg/m³) = 5.784

=====

(7)
Compound: Pr6Y2Er3
Source: Alexandria via LeMat-Bulk
Functional: PBE-GGA
Structure: optimized geometry

a b c (Å): 6.2767 6.2977 9.6221
angles (deg): 90.18 96.36 99.40
With the nearest neighbours (Å) after each atom.
Space group P-1 (No. 2)
Symmetry-distinct sites (fractional):
Pr 0.0443 0.0917 0.1799 (multiplicity 2)  5 Pr 3.60-3.67, 4 Er 3.61-3.63, 3 Y 3.61-3.65
Pr 0.1377 0.2732 0.5451 (multiplicity 2)  7 Pr 3.61-3.67, 4 Er 3.63-3.64, 1 Y 3.64
Pr 0.3206 0.6400 0.2718 (multiplicity 2)  4 Er 3.61-3.65, 3 Y 3.61-3.65, 5 Pr 3.61-3.66
Y 0.2294 0.4566 0.9091 (multiplicity 2)  2 Y 3.60-3.64, 7 Pr 3.61-3.65, 3 Er 3.62-3.63
Er 0.4100 0.8186 0.6384 (multiplicity 2)  9 Pr 3.61-3.65, 2 Er 3.61-3.67, 1 Y 3.62
Er 0.5000 0.0000 0.0000 (multiplicity 1)  6 Pr 3.61-3.63, 2 Er 3.61, 4 Y 3.62-3.63

Summary:
- calculated formation energy (meV per atom) = 17.6
- ΔE to the lowest computed polymorph (meV per atom) = 0
- theoretical density (Mg/m³) = 6.792

=====

(8)
Compound: Pr5Y3Er2
Source: Alexandria via LeMat-Bulk
Functional: PBE-GGA
Structure: optimized geometry

a b c (Å): 10.8159 14.8560 10.1578
angles (deg): 90.00 122.08 90.00
With the nearest neighbours (Å) after each atom.
Space group C2/c (No. 15)
Symmetry-distinct sites (fractional):
Pr 0.0000 0.0160 0.2500 (multiplicity 4)  3 Pr 3.14-3.46, 2 Er 3.41
Pr 0.0000 0.2276 0.2500 (multiplicity 4)  3 Pr 3.14-3.45, 4 Y 3.44-3.50, 2 Er 3.47
Pr 0.0000 0.4769 0.7500 (multiplicity 4)  3 Y 3.07-3.43
Pr 0.2441 0.3708 0.2374 (multiplicity 8)  2 Y 3.42-3.74, 3 Pr 3.45-3.53, 1 Er 3.74
Y 0.0000 0.2705 0.7500 (multiplicity 4)  3 Pr 3.07-3.42, 2 Er 3.42
Y 0.1568 0.3757 0.5574 (multiplicity 8)  1 Er 3.29, 5 Pr 3.43-3.53, 1 Y 3.56
Er 0.1520 0.1268 0.0603 (multiplicity 8)  3 Y 3.29-3.54, 4 Pr 3.41-3.54

Summary:
- calculated formation energy (meV per atom) = 171.5
- theoretical density (Mg/m³) = 6.272

=====

(9)
Compound: PrY2Er
Source: Alexandria via LeMat-Bulk
Functional: PBE-GGA
Structure: optimized geometry

a b c (Å): 5.0730 5.0730 5.0915
angles (deg): 90.00 90.00 90.00
With the nearest neighbours (Å) after each atom.
Space group P4/mmm (No. 123)
Symmetry-distinct sites (fractional):
Pr 0.0000 0.0000 0.0000 (multiplicity 1)  4 Er 3.59, 8 Y 3.59
Y 0.0000 0.5000 0.5000 (multiplicity 2)  4 Y 3.59, 4 Pr 3.59, 4 Er 3.59
Er 0.5000 0.5000 0.0000 (multiplicity 1)  4 Pr 3.59, 8 Y 3.59

Summary:
- calculated formation energy (meV per atom) = 25.2
- ΔE to the lowest computed polymorph (meV per atom) = 22
- theoretical density (Mg/m³) = 6.159

=====

(10)
Compound: Pr4YEr
Source: Alexandria via LeMat-Bulk
Functional: PBE-GGA
Structure: optimized geometry

a b c (Å): 11.8196 11.8412 3.5100
angles (deg): 90.00 90.00 90.00
With the nearest neighbours (Å) after each atom.
Space group Cmmm (No. 65)
Symmetry-distinct sites (fractional):
Pr 0.0000 0.2410 0.0000 (multiplicity 4)  1 Er 3.07, 2 Y 3.35
Pr 0.2381 0.5000 0.5000 (multiplicity 4)  1 Y 3.10, 2 Er 3.32
Y 0.0000 0.0000 0.5000 (multiplicity 2)  6 Pr 3.10-3.35
Er 0.0000 0.5000 0.0000 (multiplicity 2)  6 Pr 3.07-3.32

Summary:
- calculated formation energy (meV per atom) = 600.2
- ΔE to the lowest computed polymorph (meV per atom) = 224
- theoretical density (Mg/m³) = 5.542

=====

(11)
Compound: Pr9YEr2
Source: Alexandria via LeMat-Bulk
Functional: PBE-GGA
Structure: optimized geometry

a b c (Å): 5.1864 5.1864 15.5609
angles (deg): 90.00 90.00 90.00
With the nearest neighbours (Å) after each atom.
Space group P4/mmm (No. 123)
Symmetry-distinct sites (fractional):
Pr 0.0000 0.0000 0.0000 (multiplicity 1)  4 Y 3.67, 8 Pr 3.68
Pr 0.0000 0.0000 0.3341 (multiplicity 2)  8 Pr 3.66, 4 Er 3.67
Pr 0.0000 0.5000 0.1678 (multiplicity 4)  2 Er 3.66, 8 Pr 3.66-3.68, 2 Y 3.68
Pr 0.0000 0.5000 0.5000 (multiplicity 2)  8 Pr 3.66-3.67, 4 Er 3.66
Y 0.5000 0.5000 0.0000 (multiplicity 1)  12 Pr 3.67-3.68
Er 0.5000 0.5000 0.3337 (multiplicity 2)  12 Pr 3.66-3.67

Summary:
- calculated formation energy (meV per atom) = 12.8
- theoretical density (Mg/m³) = 6.711

=====

(12)
Compound: Pr3Y2Er7
Source: Alexandria via LeMat-Bulk
Functional: PBE-GGA
Structure: optimized geometry

a b c (Å): 5.8259 3.5679 18.8598
angles (deg): 90.00 92.98 90.00
With the nearest neighbours (Å) after each atom.
Space group P2/m (No. 10)
Symmetry-distinct sites (fractional):
Pr 0.0000 0.0000 0.0000 (multiplicity 1)  8 Er 3.37-3.42, 2 Pr 3.57
Pr 0.2772 0.5000 0.6325 (multiplicity 2)  2 Pr 3.57, 6 Er 3.68-3.87, 4 Y 3.70-3.71
Y 0.2107 0.0000 0.2912 (multiplicity 2)  3 Er 3.21-3.32, 2 Y 3.57
Er 0.1918 0.5000 0.1427 (multiplicity 2)  7 Er 3.31-3.57, 2 Y 3.32, 2 Pr 3.37
Er 0.2429 0.0000 0.4618 (multiplicity 2)  1 Y 3.21, 4 Er 3.24-3.57
Er 0.3059 0.0000 0.8257 (multiplicity 2)  8 Er 3.45-3.86, 2 Y 3.64-3.67, 1 Pr 3.82
Er 0.5000 0.5000 0.0000 (multiplicity 1)  4 Er 3.31-3.57, 4 Pr 3.42

Summary:
- calculated formation energy (meV per atom) = 90.5
- theoretical density (Mg/m³) = 7.513

=====

Q: Which formula does entry 1 have?
A: Pr12Y5Er

=====

Please write out number 1 again, unchanged.
Compound: Pr12Y5Er
Source: Alexandria via LeMat-Bulk
Functional: PBE-GGA
Structure: optimized geometry

a b c (Å): 10.9827 5.1974 10.9984
angles (deg): 90.00 90.36 90.00
With the nearest neighbours (Å) after each atom.
Space group P2/m (No. 10)
Symmetry-distinct sites (fractional):
Pr 0.0010 0.0000 0.1675 (multiplicity 2)  4 Y 3.65-3.66, 8 Pr 3.68-3.69
Pr 0.1656 0.5000 0.6658 (multiplicity 2)  4 Y 3.65-3.66, 8 Pr 3.68-3.70
Pr 0.1687 0.5000 0.0010 (multiplicity 2)  1 Er 3.64, 3 Y 3.65-3.66, 8 Pr 3.67-3.71
Pr 0.3324 0.0000 0.4992 (multiplicity 2)  4 Y 3.65-3.66, 8 Pr 3.68-3.70
Pr 0.3354 0.0000 0.8353 (multiplicity 2)  2 Y 3.63-3.64, 2 Er 3.64, 8 Pr 3.67-3.70
Pr 0.4988 0.5000 0.3314 (multiplicity 2)  1 Er 3.65, 3 Y 3.65, 8 Pr 3.67-3.71
Y 0.0000 0.0000 0.5000 (multiplicity 1)  8 Pr 3.65-3.66, 4 Y 3.67
Y 0.1665 0.5000 0.3335 (multiplicity 2)  8 Pr 3.65-3.66, 4 Y 3.67-3.68
Y 0.3337 0.0000 0.1663 (multiplicity 2)  8 Pr 3.63-3.66, 2 Er 3.67, 2 Y 3.68
Er 0.5000 0.5000 0.0000 (multiplicity 1)  8 Pr 3.64-3.65, 4 Y 3.67

Summary:
- calculated formation energy (meV per atom) = 19.8
- theoretical density (Mg/m³) = 6.091